one | {
  "formula": "ZrOsAu2",
  "functional": "PBE-GGA",
  "state": "relaxed",
  "n_ef_per_ev_cell": 5.57,
  "cell": [[-1.942, 1.942, 10.090], [1.942, -1.942, 10.090], [1.942, 1.942, -10.090]],
  "species": ["Zr", "Zr", "Os", "Os", "Au", "Au", "Au", "Au"],
  "frac_coords": [[0.000, 0.000, 0.000], [0.750, 0.250, 0.500], [0.250, 0.750, 0.500], [0.500, 0.500, 0.000], [0.135, 0.625, 0.010], [0.375, 0.385, 0.510], [0.615, 0.125, 0.990], [0.875, 0.865, 0.490]]
}

---

two | {
  "formula": "ZrOsAu2",
  "functional": "PBE-GGA",
  "state": "relaxed",
  "n_ef_per_ev_cell": 4.57,
  "cell": [[0.000, 3.296, 3.296], [3.296, 0.000, 3.296], [3.296, 3.296, 0.000]],
  "species": ["Zr", "Os", "Au", "Au"],
  "frac_coords": [[0.000, 0.000, 0.000], [0.500, 0.500, 0.500], [0.250, 0.250, 0.250], [0.750, 0.750, 0.750]]
}

---

Preferred: two; penalty for the next structure: 6.2 kJ/mol of atoms.